## RbCoOsO6 (PBE with a Hubbard U)

Data for a relaxed RbCoOsO6 crystal.

Cell and atoms, written as extended XYZ:
```
9
Lattice="5.099 0.000 0.000 2.550 4.416 0.000 0.000 0.000 6.309" Properties=species:S:1:pos:R:3 pbc="T T T"
O 3.533 2.686 2.109
Os 2.549 1.472 3.155
Rb 5.099 0.000 6.309
Co 5.099 2.944 3.155
O 1.006 1.716 2.109
O 3.110 0.013 2.109
O 1.566 2.686 4.201
O 4.093 1.716 4.200
O 1.989 0.013 4.200
```

Computed properties:
raw total energy: -56.72 eV/cell
symmetry: No. 149
crystal system: trigonal